[1]
The following is a PBE-GGA calculation of a geometry-optimized HgRu2 structure, from Alexandria via LeMat-Bulk.

Values from the calculation:
- total energy (eV per atom) = -5.39
- formation enthalpy at 0 K (meV per atom) = 891
- excess energy over the best structure of this formula in the dataset (meV/atom) = 579

Unit cell a=3.524 b=3.524 c=4.622 alpha=90.00 beta=90.00 gamma=90.00
Site moments in Bohr magnetons follow the coordinates.
Sites, in units of the cell vectors:
Hg 0.000 0.000 0.000  0.00
Ru 0.000 0.500 0.500  0.18
Ru 0.500 0.000 0.500  0.18



[2]
The following is a PBE-GGA calculation of a geometry-optimized ScIn2PbCl structure, from Alexandria via LeMat-Bulk.

Values from the calculation:
- total energy (eV per atom) = -3.07
- energy relative to the elements, uncorrected (kcal/mol of atoms) = 9.329
- excess energy over the best structure of this formula in the dataset (meV/atom) = 277

Unit cell a=5.828 b=5.440 c=5.828 alpha=90.00 beta=90.00 gamma=90.00
Site moments in Bohr magnetons follow the coordinates.
Sites, in units of the cell vectors:
Pb 0.000 0.000 0.000  -0.01
Sc 0.500 0.500 0.500  0.81
Cl 0.000 0.500 0.000  0.03
In 0.000 0.000 0.500  0.04
In 0.500 0.000 0.000  0.03



[3]
The following is a PBE-GGA calculation of a geometry-optimized Co4P3 structure, from Alexandria via LeMat-Bulk.

Values from the calculation:
- total energy (eV per atom) = -6.60
- formation enthalpy at 0 K (meV per atom) = -225
- excess energy over the best structure of this formula in the dataset (meV/atom) = 0

Unit cell a=8.939 b=8.939 c=8.939 alpha=160.75 beta=160.75 gamma=27.36
Site moments in Bohr magnetons follow the coordinates.
Sites, in units of the cell vectors:
Co 0.836 0.836 0.000  -0.06
Co 0.164 0.164 0.000  -0.06
Co 0.569 0.569 0.000  0.78
Co 0.431 0.431 0.000  0.78
P 0.000 0.000 0.000  0.02
P 0.703 0.703 0.000  0.00
P 0.297 0.297 0.000  0.00



[4]
The following is a PBE-GGA calculation of a geometry-optimized KCaIn2 structure, from Alexandria via LeMat-Bulk.

Values from the calculation:
- total energy (eV per atom) = -2.36
- formation enthalpy at 0 K (meV per atom) = -214
- excess energy over the best structure of this formula in the dataset (meV/atom) = 0

Unit cell a=3.962 b=3.962 c=8.475 alpha=90.00 beta=90.00 gamma=90.00
Sites, in units of the cell vectors:
Ca 0.500 0.500 0.750
In 0.000 0.000 0.955
In 0.000 0.000 0.545
K 0.500 0.500 0.250



[5]
The following is a PBE-GGA calculation of a geometry-optimized VZnS3 structure, from Alexandria via LeMat-Bulk.

Values from the calculation:
- total energy (eV per atom) = -4.62
- energy relative to the elements, uncorrected (kcal/mol of atoms) = -1.406
- excess energy over the best structure of this formula in the dataset (meV/atom) = 0

Unit cell a=4.584 b=4.584 c=4.584 alpha=90.00 beta=90.00 gamma=90.00
Sites, in units of the cell vectors:
Zn 0.500 0.500 0.500
S 0.000 0.500 0.000
S 0.000 0.000 0.500
S 0.500 0.000 0.000
V 0.000 0.000 0.000



[6]
The following is a PBE-GGA calculation of a geometry-optimized TaCoMo structure, from Alexandria via LeMat-Bulk.

Values from the calculation:
- total energy (eV per atom) = -9.89
- formation enthalpy at 0 K (meV per atom) = 40
- excess energy over the best structure of this formula in the dataset (meV/atom) = 180

Unit cell a=9.381 b=4.381 c=4.411 alpha=90.00 beta=90.00 gamma=90.00
Site moments in Bohr magnetons follow the coordinates.
Sites, in units of the cell vectors:
Mo 0.170 0.000 0.000  0.12
Mo 0.830 0.000 0.000  0.12
Mo 0.670 0.500 0.000  0.12
Mo 0.330 0.500 0.000  0.12
Co 0.667 0.000 0.500  1.28
Co 0.333 0.000 0.500  1.28
Co 0.167 0.500 0.500  1.28
Co 0.833 0.500 0.500  1.28
Ta 0.500 0.000 0.000  0.08
Ta 0.000 0.500 0.000  0.08
Ta 0.000 0.000 0.500  0.04
Ta 0.500 0.500 0.500  0.04



[7]
The following is a PBE-GGA calculation of a geometry-optimized LiRe2PC structure, from Alexandria via LeMat-Bulk.

Values from the calculation:
- total energy (eV per atom) = -6.66
- formation enthalpy at 0 K (meV per atom) = 1629

Unit cell a=4.542 b=3.511 c=4.542 alpha=90.00 beta=90.00 gamma=90.00
Sites, in units of the cell vectors:
Re 0.000 0.000 0.500
Re 0.500 0.000 0.000
C 0.000 0.500 0.000
Li 0.500 0.500 0.500
P 0.000 0.000 0.000



[8]
The following is a PBE-GGA calculation of a geometry-optimized HgP structure, from Alexandria via LeMat-Bulk.

Values from the calculation:
- total energy (eV per atom) = -2.31
- formation enthalpy at 0 K (meV per atom) = 542
- excess energy over the best structure of this formula in the dataset (meV/atom) = 513

Unit cell a=7.254 b=7.254 c=7.254 alpha=90.00 beta=90.00 gamma=90.00
Sites, in units of the cell vectors:
Hg 0.250 0.000 0.500
Hg 0.750 0.000 0.500
Hg 0.000 0.500 0.250
Hg 0.000 0.500 0.750
Hg 0.500 0.250 0.000
Hg 0.500 0.750 0.000
P 0.250 0.500 0.000
P 0.750 0.500 0.000
P 0.500 0.000 0.250
P 0.500 0.000 0.750
P 0.000 0.250 0.500
P 0.000 0.750 0.500



[9]
The following is a PBE-GGA calculation of a geometry-optimized VCrP2S structure, from Alexandria via LeMat-Bulk.

Values from the calculation:
- total energy (eV per atom) = -5.93
- energy relative to the elements, uncorrected (kcal/mol of atoms) = 18.607
- excess energy over the best structure of this formula in the dataset (meV/atom) = 316

Unit cell a=4.565 b=4.565 c=4.364 alpha=90.00 beta=90.00 gamma=90.00
Site moments in Bohr magnetons follow the coordinates.
Sites, in units of the cell vectors:
Cr 0.500 0.500 0.500  -0.12
S 0.000 0.000 0.500  0.03
P 0.000 0.500 0.000  -0.03
P 0.500 0.000 0.000  -0.03
V 0.000 0.000 0.000  0.10



[10]
The following is a PBE-GGA calculation of a geometry-optimized Ce2Pa2Ge structure, from Alexandria via LeMat-Bulk.

Values from the calculation:
- total energy (eV per atom) = -6.86
- formation enthalpy at 0 K (meV per atom) = 231

Unit cell a=3.922 b=3.922 c=9.162 alpha=102.36 beta=102.36 gamma=90.00
Site moments in Bohr magnetons follow the coordinates.
Sites, in units of the cell vectors:
Ce 0.416 0.416 0.832  0.34
Ce 0.584 0.584 0.168  0.34
Pa 0.750 0.250 0.500  0.07
Pa 0.250 0.750 0.500  0.07
Ge 0.000 0.000 0.000  -0.02



[11]
The following is a PBE-GGA calculation of a geometry-optimized Pr2Nd3Dy structure, from Alexandria via LeMat-Bulk.

Values from the calculation:
- total energy (eV per atom) = -4.50
- formation enthalpy at 0 K (meV per atom) = 240
- excess energy over the best structure of this formula in the dataset (meV/atom) = 184

Unit cell a=3.457 b=6.854 c=18.000 alpha=90.00 beta=90.00 gamma=90.00
Sites, in units of the cell vectors:
Pr 0.500 0.764 0.151
Pr 0.000 0.264 0.349
Pr 0.000 0.736 0.651
Pr 0.500 0.236 0.849
Nd 0.000 0.000 0.000
Nd 0.500 0.500 0.500
Nd 0.500 0.743 0.822
Nd 0.500 0.257 0.178
Nd 0.000 0.243 0.678
Nd 0.000 0.757 0.322
Dy 0.000 0.000 0.500
Dy 0.500 0.500 0.000



[12]
The following is a PBE-GGA calculation of a geometry-optimized KUTe2O8 structure, from Alexandria via LeMat-Bulk.

Values from the calculation:
- total energy (eV per atom) = -6.59
- energy relative to the elements, uncorrected (kcal/mol of atoms) = -39.880
- excess energy over the best structure of this formula in the dataset (meV/atom) = 61

Unit cell a=5.792 b=7.232 c=7.662 alpha=47.79 beta=67.79 gamma=66.39
Sites, in units of the cell vectors:
K 0.500 0.500 0.500
U 0.000 0.000 0.000
Te 0.284 0.239 0.193
Te 0.716 0.761 0.807
O 0.935 0.354 0.777
O 0.687 0.495 0.130
O 0.065 0.646 0.223
O 0.313 0.505 0.870
O 0.618 0.017 0.214
O 0.382 0.983 0.786
O 0.150 0.017 0.214
O 0.850 0.983 0.786



no.,total magnetization (μB per formula unit)
1,0.4
2,1.5
3,1.4
4,0.0
5,0.0
6,1.5
7,0.0
8,0.0
9,0.1
10,1.0
11,0.0
12,0.0